VASP calculation (PBE) on a relaxed Rb3Pr3SnTe8 crystal.

POSCAR file:
```
Rb3Pr3SnTe8
1.0
9.1443 -0.0005 0.0001
-4.5726 7.9321 -0.0371
0.0004 -5.2519 8.8439
Te Pr Sn Rb
8 3 1 3
direct
0.2242 0.9730 0.6972 Te
0.7355 0.4710 0.7066 Te
0.7756 0.5512 0.3027 Te
0.2645 0.5290 0.2934 Te
0.2244 0.4488 0.6973 Te
0.7489 0.9730 0.6972 Te
0.7758 0.0270 0.3028 Te
0.2511 0.0270 0.3028 Te
0.5000 0.0000 0.5000 Pr
0.0000 0.5000 0.5000 Pr
0.5000 0.5000 0.5000 Pr
0.0000 0.0000 0.5000 Sn
0.0000 0.5000 0.0000 Rb
0.5000 0.5000 0.0000 Rb
0.0000 0.0000 0.0000 Rb
```

Computed properties:
Uncorrected formation energy: -1.106 eV/atom
Calculated total energy: -0.3085 Ry/atom
Crystal system: monoclinic

---

VASP calculation (PBE) on a relaxed TaTl2Mo crystal.

POSCAR file:
```
TaTl2Mo
1.0
3.0033 0.0000 0.0000
0.0000 3.0033 0.0000
0.0000 0.0000 8.8831
Mo Tl Ta
1 2 1
direct
0.5000 0.5000 0.2500 Mo
0.0000 0.0000 0.0070 Tl
0.0000 0.0000 0.4930 Tl
0.5000 0.5000 0.7500 Ta
```

Computed properties:
Calculated total energy: -0.4422 Ry/atom
ΔH_f (0 K): 837 meV/atom
Crystal system: tetragonal